# CaV2SbO8, optimized geometry, DFT PBE+U
data_CaV2SbO8
_chemical_formula_sum 'Ca1 V2 Sb1 O8'
_symmetry_space_group_name_H-M 'P 1'
_symmetry_Int_Tables_number 1
_cell_length_a 5.702
_cell_length_b 5.702
_cell_length_c 6.598
_cell_angle_alpha 90.00
_cell_angle_beta 90.00
_cell_angle_gamma 120.00
loop_
_symmetry_equiv_pos_as_xyz
'x,y,z'
loop_
_atom_site_label
_atom_site_type_symbol
_atom_site_fract_x
_atom_site_fract_y
_atom_site_fract_z
Ca1 Ca 0.000 0.000 0.500
O1 O 0.682 0.841 0.792
O2 O 0.841 0.159 0.208
O3 O 0.333 0.667 0.468
O4 O 0.159 0.841 0.792
O5 O 0.667 0.333 0.532
V1 V 0.333 0.667 0.718
Sb1 Sb 0.000 0.000 0.000
O6 O 0.318 0.159 0.208
O7 O 0.841 0.682 0.208
V2 V 0.667 0.333 0.282
O8 O 0.159 0.318 0.792
# Crystal system: trigonal
# N(E_F), states/eV/cell: 3.75
# Raw total energy, eV/atom: -6.961